Entry 1:
Zn2InRe: single point on PBEsol structure, meta-GGA SCAN.

Cell lengths 4.4665, 4.4665, 4.4665 Å; angles 60.00, 60.00, 60.00 degrees
With the nearest neighbours (Å) after each atom.
Element x y z (fractional)
Zn 0.7500 0.7500 0.7500  4 In 2.74, 4 Zn 2.74
Re 0.2500 0.2500 0.2500  4 In 2.74, 4 Zn 2.74
Zn 0.0000 0.0000 0.0000  4 Re 2.74, 4 Zn 2.74
In 0.5000 0.5000 0.5000  4 Zn 2.74, 4 Re 2.74

## Properties
E_form ... 2.419 eV/f.u.
Crystal system ... cubic
Magnetic moment ... 0.00 μB per formula unit

=====

Entry 2:
YZn2Ir: single point on PBEsol structure, meta-GGA SCAN.

Cell lengths 4.6071, 4.5669, 4.6071 Å; angles 59.71, 90.00, 120.29 degrees
With the nearest neighbours (Å) after each atom.
Element x y z (fractional)
Zn 0.2500 0.5000 0.2500  4 Zn 2.80, 4 Ir 2.80
Ir 0.5000 0.0000 0.5000  4 Y 2.80, 4 Zn 2.80
Y 0.7500 0.5000 0.7500  4 Ir 2.80, 4 Zn 2.80
Zn 0.0000 0.0000 0.0000  4 Zn 2.80, 4 Y 2.80

## Properties
E_form ... -1.475 eV/f.u.
Crystal system ... tetragonal
Magnetic moment ... 0.00 μB per formula unit

=====

Entry 3:
Li4VFe3O8: single point on PBEsol structure, meta-GGA SCAN.

Cell lengths 5.6550, 5.7444, 7.9901 Å; angles 93.34, 90.00, 90.00 degrees
With the nearest neighbours (Å) after each atom.
Element x y z (fractional)
O 0.5000 0.9806 0.7466  3 Fe 1.93-2.02, 3 Li 1.98-2.10
Li 0.7496 0.2516 0.7510  6 O 2.04-2.13
O 0.5000 0.0194 0.2534  3 Fe 1.93-2.02, 3 Li 1.98-2.10
Fe 0.7501 0.7535 0.7513  6 O 1.92-1.95
O 0.0000 0.0141 0.2460  2 Fe 1.94, 1 V 1.96, 3 Li 2.04-2.08
O 0.2466 0.2648 0.4929  2 Fe 1.94-1.95, 1 V 1.97, 3 Li 2.07-2.09
O 0.7534 0.2648 0.4929  2 Fe 1.94-1.95, 1 V 1.97, 3 Li 2.07-2.09
O 0.2401 0.7544 0.9941  2 Fe 1.94-2.04, 1 V 1.96, 3 Li 2.00-2.08
Fe 0.5000 0.0000 0.0000  6 O 2.02-2.04
Fe 0.2499 0.7535 0.7513  6 O 1.92-1.95
O 0.7534 0.7352 0.5071  2 Fe 1.94-1.95, 1 V 1.97, 3 Li 2.07-2.09
O 0.0000 0.5268 0.7382  3 Fe 1.90-1.92, 1 Li 2.11
Fe 0.0000 0.5000 0.5000  6 O 1.90-1.94
O 0.5000 0.4806 0.2546  2 Fe 1.95, 1 V 1.96, 3 Li 2.04-2.09
O 0.0000 0.9859 0.7540  2 Fe 1.94, 1 V 1.96, 3 Li 2.04-2.08
O 0.7599 0.7544 0.9941  2 Fe 1.94-2.04, 1 V 1.96, 3 Li 2.00-2.08
Fe 0.2499 0.2465 0.2487  6 O 1.92-1.95
Li 0.0000 0.0000 0.5000  6 O 2.04-2.07
Li 0.2504 0.7484 0.2490  6 O 2.04-2.13
V 0.0000 0.0000 0.0000  6 O 1.96
Li 0.5000 0.5000 0.0000  6 O 2.04-2.08
Fe 0.7501 0.2465 0.2487  6 O 1.92-1.95
O 0.2466 0.7352 0.5071  2 Fe 1.94-1.95, 1 V 1.97, 3 Li 2.07-2.09
Li 0.5000 0.0000 0.5000  6 O 1.98-2.09
Li 0.7496 0.7484 0.2490  6 O 2.04-2.13
Li 0.2504 0.2516 0.7510  6 O 2.04-2.13
O 0.5000 0.5194 0.7454  2 Fe 1.95, 1 V 1.96, 3 Li 2.04-2.09
O 0.2401 0.2456 0.0059  2 Fe 1.94-2.04, 1 V 1.96, 3 Li 2.00-2.08
V 0.5000 0.5000 0.5000  6 O 1.96-1.97
Li 0.0000 0.5000 0.0000  6 O 2.00-2.11
O 0.0000 0.4732 0.2618  3 Fe 1.90-1.92, 1 Li 2.11
O 0.7599 0.2456 0.0059  2 Fe 1.94-2.04, 1 V 1.96, 3 Li 2.00-2.08

## Properties
Distance to the lowest polymorph of the same formula ... 20 meV/atom
Energy relative to the elements, uncorrected ... -2.055 eV per atom
Crystal system ... monoclinic
Magnetic moment ... 3.00 μB per formula unit

=====

Entry 4:
KRhBr2: single point on PBEsol structure, meta-GGA SCAN.

Cell lengths 3.9931, 3.9931, 8.9497 Å; angles 77.11, 77.11, 60.00 degrees
With the nearest neighbours (Å) after each atom.
Element x y z (fractional)
Br 0.1180 0.1180 0.6460  3 Rh 2.63
K 0.0000 0.0000 0.0000  2 Br 3.06
Rh 0.5000 0.5000 0.5000  6 Br 2.63
Br 0.8820 0.8820 0.3540  3 Rh 2.63

## Properties
Distance to the lowest polymorph of the same formula ... 364 meV/atom
Energy relative to the elements, uncorrected ... -0.396 eV per atom
Crystal system ... trigonal
Magnetic moment ... 1.72 μB per formula unit

=====

Entry 5:
SrHf3Sc: single point on PBEsol structure, meta-GGA SCAN.

Cell lengths 5.1608, 5.1608, 5.1608 Å; angles 90.00, 90.00, 90.00 degrees
With the nearest neighbours (Å) after each atom.
Element x y z (fractional)
Hf 0.0000 0.5000 0.0000  2 Sc 2.58
Hf 0.0000 0.0000 0.5000  2 Sc 2.58
Sc 0.0000 0.0000 0.0000  6 Hf 2.58
Hf 0.5000 0.0000 0.0000  2 Sc 2.58
Sr 0.5000 0.5000 0.5000  12 Hf 3.65

## Properties
E_form ... 5.606 eV/f.u.
Crystal system ... cubic
Magnetic moment ... 1.93 μB per formula unit

=====

Entry 6:
SiOs2Pt: single point on PBEsol structure, meta-GGA SCAN.

Cell lengths 2.7640, 2.7640, 8.4781 Å; angles 80.62, 80.62, 60.00 degrees
With the nearest neighbours (Å) after each atom.
Element x y z (fractional)
Os 0.7429 0.7429 0.7714  3 Si 2.48, 6 Os 2.76, 3 Pt 2.77
Os 0.2571 0.2571 0.2286  3 Si 2.48, 6 Os 2.76, 3 Pt 2.77
Pt 0.5000 0.5000 0.5000  6 Pt 2.76, 6 Os 2.77
Si 0.0000 0.0000 0.0000  6 Os 2.48, 6 Si 2.76

## Properties
Energy relative to the elements, uncorrected ... 0.001 eV per atom
Crystal system ... trigonal
Magnetic moment ... 0.00 μB per formula unit

=====

Entry 7:
CrO2: single point on PBEsol structure, meta-GGA SCAN.

Cell lengths 4.6828, 4.6828, 4.6828 Å; angles 90.00, 90.00, 90.00 degrees
With the nearest neighbours (Å) after each atom.
Element x y z (fractional)
O 0.3499 0.1501 0.8499  3 Cr 1.92
Cr 0.5000 0.5000 0.0000  6 O 1.92
O 0.8499 0.3499 0.1501  3 Cr 1.92
O 0.6501 0.8499 0.1501  3 Cr 1.92
O 0.3499 0.3499 0.3499  3 Cr 1.92
O 0.6501 0.6501 0.6501  3 Cr 1.92
O 0.8499 0.1501 0.6501  3 Cr 1.92
O 0.1501 0.8499 0.3499  3 Cr 1.92
Cr 0.0000 0.0000 0.0000  6 O 1.92
Cr 0.5000 0.0000 0.5000  6 O 1.92
O 0.1501 0.6501 0.8499  3 Cr 1.92
Cr 0.0000 0.5000 0.5000  6 O 1.92

## Properties
Energy relative to the elements, uncorrected ... -2.109 eV per atom
Crystal system ... cubic
Magnetic moment ... 2.00 μB per formula unit

=====

Entry 8:
BaMnO3: single point on PBEsol structure, meta-GGA SCAN.

Cell lengths 3.8993, 3.8993, 3.8993 Å; angles 90.00, 90.00, 90.00 degrees
With the nearest neighbours (Å) after each atom.
Element x y z (fractional)
Ba 0.5000 0.5000 0.5000  12 O 2.76
O 0.0000 0.0000 0.5000  2 Mn 1.95
O 0.0000 0.5000 0.0000  2 Mn 1.95
Mn 0.0000 0.0000 0.0000  6 O 1.95
O 0.5000 0.0000 0.0000  2 Mn 1.95

## Properties
Energy relative to the elements, uncorrected ... -2.507 eV per atom
Crystal system ... cubic
Magnetic moment ... 3.03 μB per formula unit